Record 1
DFT (PBEsol) results for AgMo2Ir after structural relaxation.

Unit cell a=2.710 b=2.710 c=8.256 alpha=90.00 beta=90.00 gamma=90.00
Element x y z (fractional)
Ag  0.000  0.000  0.000
Mo  0.500  0.500  0.265
Mo  0.500  0.500  0.735
Ir  0.000  0.000  0.500

Results
Energy of formation, kJ/mol of formula units: 49
Energy, eV per atom: -9.040

Record 2
DFT (PBEsol) results for Ag3MoIr after structural relaxation.

Unit cell a=4.888 b=4.888 c=4.888 alpha=90.00 beta=90.00 gamma=90.00
Element x y z (fractional)
Ag  0.000  0.000  0.500
Ag  0.000  0.500  0.000
Ag  0.500  0.000  0.000
Mo  0.500  0.500  0.500
Ir  0.000  0.000  0.000

Results
Energy of formation, kJ/mol of formula units: 938
Energy, eV per atom: -4.361

Record 3
DFT (PBEsol) results for TlAgMoIr2 after structural relaxation.

Unit cell a=4.653 b=4.653 c=5.215 alpha=90.00 beta=90.00 gamma=90.00
Element x y z (fractional)
Tl  0.000  0.000  0.000
Ag  0.500  0.500  0.000
Mo  0.000  0.000  0.500
Ir  0.000  0.500  0.500
Ir  0.500  0.000  0.500

Results
Energy of formation, kJ/mol of formula units: 714
Energy, eV per atom: -5.990

Record 4
DFT (PBEsol) results for AgIrNO2 after structural relaxation.

Unit cell a=3.881 b=3.881 c=3.987 alpha=90.00 beta=90.00 gamma=90.00
Element x y z (fractional)
Ag  0.000  0.000  0.000
Ir  0.500  0.500  0.500
N  0.000  0.000  0.500
O  0.000  0.500  0.000
O  0.500  0.000  0.000

Results
Uncorrected formation energy, kJ/mol of formula units: 858
Energy, eV per atom: -4.653

Record 5
DFT (PBEsol) results for NaAgIr3 after structural relaxation.

Unit cell a=4.805 b=4.805 c=4.805 alpha=90.00 beta=90.00 gamma=90.00
Element x y z (fractional)
Na  0.000  0.000  0.000
Ag  0.500  0.500  0.500
Ir  0.000  0.500  0.500
Ir  0.500  0.000  0.500
Ir  0.500  0.500  0.000

Results
Energy of formation, kJ/mol of formula units: 1104
Energy, eV per atom: -4.548

Record 6
DFT (PBEsol) results for NbTcAgIr2 after structural relaxation.

Unit cell a=4.655 b=4.655 c=4.644 alpha=90.00 beta=90.00 gamma=90.00
Element x y z (fractional)
Nb  0.000  0.000  0.000
Tc  0.500  0.500  0.000
Ag  0.000  0.000  0.500
Ir  0.000  0.500  0.500
Ir  0.500  0.000  0.500

Results
Energy of formation, kJ/mol of formula units: 1199
Energy, eV per atom: -6.525